(1)
# LaTe2Os PBE relaxed
data_LaTe2Os
_chemical_formula_sum 'La1 Te2 Os1'
_symmetry_space_group_name_H-M 'P 4/m m m'
_symmetry_Int_Tables_number 123
_symmetry_space_group_name_Hall '-P 4 2'
_cell_length_a 3.5325
_cell_length_b 3.5325
_cell_length_c 7.5935
_cell_angle_alpha 90.00
_cell_angle_beta 90.00
_cell_angle_gamma 90.00
loop_
_atom_site_label
_atom_site_fract_x
_atom_site_fract_y
_atom_site_fract_z
La1 0.0000 0.0000 0.0000
Te1 0.5000 0.5000 0.2926
Os1 0.0000 0.0000 0.5000
# calculated volume	94.8	Å³/f.u.
# energy above the lowest structure with this stoichiometry	584.9	meV/atom
# formation energy from raw total energies	0.15	eV/atom
# crystal system	tetragonal
# D(E_F)	5.2	states/eV/f.u.
# VASP energy	-5.4588	eV per atom

(2)
# CsRbAgF4 PBE relaxed
data_CsRbAgF4
_chemical_formula_sum 'Cs4 Rb4 Ag4 F16'
_symmetry_space_group_name_H-M 'C m c m'
_symmetry_Int_Tables_number 63
_symmetry_space_group_name_Hall '-C 2c 2'
_cell_length_a 6.3532
_cell_length_b 14.4373
_cell_length_c 6.3642
_cell_angle_alpha 90.00
_cell_angle_beta 90.00
_cell_angle_gamma 90.00
loop_
_atom_site_label
_atom_site_fract_x
_atom_site_fract_y
_atom_site_fract_z
Cs1 0.0000 0.1022 0.2500
Rb1 0.0000 0.3903 0.2500
Ag1 0.0000 0.2531 0.7500
F1 0.0000 0.0995 0.7500
F2 0.0000 0.4084 0.7500
F3 0.2500 0.2500 0.0000
# calculated volume	145.9	Å³/f.u.
# formation energy from raw total energies	-2.10	eV/atom
# crystal system	orthorhombic
# D(E_F)	2.6	states/eV/f.u.
# VASP energy	-3.8325	eV per atom

Result set for size of the total moment: 0.2 0.5 μB per formula unit, one per record in the order listed.